# 1
The following is a PBE calculation of a relaxed structure of CuAgCl, from Alexandria via LeMat-Bulk.

energy above the lowest structure with this stoichiometry: 0 meV per atom

Unit cell a=6.0223 b=3.5109 c=11.4606 alpha=90.00 beta=92.84 gamma=90.00
Space group C2/m (No. 12)
Symmetry-distinct sites (fractional):
Cu 0.0262 0.0000 0.2439
Ag 0.1757 0.5000 0.0847
Cl 0.1999 0.5000 0.3470

---

# 2
The following is a PBE calculation of a relaxed structure of CuAgCl, from Alexandria via LeMat-Bulk.

energy above the lowest structure with this stoichiometry: 93 meV per atom

Unit cell a=3.2995 b=5.5426 c=11.9540 alpha=90.00 beta=90.00 gamma=90.00
Space group Fmm2 (No. 42)
Symmetry-distinct sites (fractional):
Cu 0.0000 0.0000 0.0000
Ag 0.0000 0.0000 0.6676
Cl 0.0000 0.0000 0.3605

---

# 3
The following is a PBE calculation of a relaxed structure of CuAg2Cl6, from Alexandria via LeMat-Bulk.

energy above the lowest structure with this stoichiometry: 0 meV per atom

Unit cell a=6.4836 b=6.7186 c=11.8607 alpha=90.00 beta=107.29 gamma=90.00
Space group P2_1/c (No. 14)
Symmetry-distinct sites (fractional):
Cu 0.0000 0.0000 0.0000
Ag 0.3486 0.1350 0.8361
Cl 0.0929 0.2133 0.4293
Cl 0.2339 0.6676 0.4272
Cl 0.4145 0.0456 0.2557

---

# 4
The following is a PBE calculation of a relaxed structure of CuAg4Cl8, from Alexandria via LeMat-Bulk.

Unit cell a=14.7537 b=7.4548 c=7.2556 alpha=90.00 beta=115.83 gamma=90.00
Space group C2/m (No. 12)
Symmetry-distinct sites (fractional):
Cu 0.0000 0.0000 0.0000
Ag 0.0000 0.0000 0.5000
Ag 0.0000 0.5000 0.5000
Ag 0.2500 0.2500 0.5000
Cl 0.0068 0.2163 0.2230
Cl 0.1844 0.5000 0.6691
Cl 0.2249 0.0000 0.6998

---

# 5
The following is a PBE calculation of a relaxed structure of CuAgCl3, from Alexandria via LeMat-Bulk.

energy above the lowest structure with this stoichiometry: 563 meV per atom

Unit cell a=5.0151 b=5.0151 c=5.0151 alpha=90.00 beta=90.00 gamma=90.00
Space group Pm-3m (No. 221)
Symmetry-distinct sites (fractional):
Cu 0.0000 0.0000 0.0000
Ag 0.5000 0.5000 0.5000
Cl 0.0000 0.5000 0.5000

---

# 6
The following is a PBE calculation of a relaxed structure of Cu2Ag2Cl5, from Alexandria via LeMat-Bulk.

energy above the lowest structure with this stoichiometry: 23 meV per atom

Unit cell a=17.3436 b=6.6070 c=6.8616 alpha=90.00 beta=90.00 gamma=90.00
Space group Ima2 (No. 46)
Symmetry-distinct sites (fractional):
Cu 0.0000 0.0000 0.0000
Cu 0.2500 0.0442 0.0650
Ag 0.1193 0.9999 0.5566
Cl 0.0348 0.2467 0.2478
Cl 0.1402 0.6215 0.4795
Cl 0.2500 0.1385 0.3982

---

Result set for electronic total energy: -3.019, -2.926, -2.714, -2.723, -2.393, -3.002 eV per atom, one per record in the order listed.
Result set for magnetization: 0.0, 0.0, 0.8, 0.6, 0.0, 0.8 μB/f.u., one per record in the order listed.